No. 1
! Cs4CdAu3 (PBE, optimized geometry); values from VASP
! VASP energy   -2.04 eV per atom
! Formation enthalpy at 0 K   -0.27 eV per atom
! SG   Pmm2 (25)
! Total magnetic moment   0.000 μB/atom
&SYSTEM
  ibrav = 0, nat = 8, ntyp = 3
/
ATOMIC_SPECIES
Cs 132.91 Cs.upf
Cd 112.41 Cd.upf
Au 196.97 Au.upf
CELL_PARAMETERS angstrom
5.077 0.000 0.000
0.000 5.241 0.000
0.000 0.000 13.354
ATOMIC_POSITIONS angstrom
Cs 0.000 0.000 0.000
Cs 0.000 2.620 6.269
Cs 2.538 0.000 9.235
Cs 2.538 2.620 2.774
Cd 0.000 2.620 10.587
Au 0.000 0.000 3.713
Au 2.538 0.000 5.384
Au 2.538 2.620 11.990

=====

No. 2
! Cs2CdAu (PBE, optimized geometry); values from VASP
! VASP energy   -1.48 eV per atom
! Formation enthalpy at 0 K   -0.01 eV per atom
! SG   R-3m (166)
! Total magnetic moment   0.000 μB/atom
&SYSTEM
  ibrav = 0, nat = 12, ntyp = 3
/
ATOMIC_SPECIES
Cs 132.91 Cs.upf
Cd 112.41 Cd.upf
Au 196.97 Au.upf
CELL_PARAMETERS angstrom
4.999 0.000 0.000
-2.499 4.329 0.000
0.000 0.000 36.678
ATOMIC_POSITIONS angstrom
Cs 0.000 0.000 4.007
Cs 0.000 0.000 32.671
Cs 0.000 2.886 20.445
Cs 0.000 2.886 28.459
Cs 2.499 1.443 8.219
Cs 2.499 1.443 16.233
Cd 0.000 0.000 0.000
Cd 0.000 2.886 24.452
Cd 2.499 1.443 12.226
Au 0.000 0.000 18.339
Au 0.000 2.886 6.113
Au 2.499 1.443 30.565

=====

No. 3
! Cs3Cd3Au2 (PBE, optimized geometry); values from VASP
! VASP energy   -1.69 eV per atom
! Formation enthalpy at 0 K   -0.20 eV per atom
! SG   Cmcm (63)
! Total magnetic moment   0.000 μB/atom
&SYSTEM
  ibrav = 0, nat = 16, ntyp = 3
/
ATOMIC_SPECIES
Cs 132.91 Cs.upf
Cd 112.41 Cd.upf
Au 196.97 Au.upf
CELL_PARAMETERS angstrom
2.510 -6.833 0.000
2.510 6.833 0.000
0.000 0.000 18.316
ATOMIC_POSITIONS angstrom
Cs 2.510 6.135 11.082
Cs 2.510 6.135 16.392
Cs 2.510 1.881 13.737
Cs 2.510 -1.881 4.579
Cs 2.510 -6.135 1.924
Cs 2.510 -6.135 7.234
Cd 2.510 2.531 9.851
Cd 2.510 2.531 17.622
Cd 2.510 2.216 4.579
Cd 2.510 -2.216 13.737
Cd 2.510 -2.531 0.693
Cd 2.510 -2.531 8.464
Au 2.510 3.618 2.039
Au 2.510 3.618 7.119
Au 2.510 -3.618 11.197
Au 2.510 -3.618 16.277